[1]
Below is a relaxed Cs4Th3MgTe8 crystal, with properties calculated at the GGA-PBE level.

abc: 9.1507 9.1507 26.9680
angles: 90.00 90.00 120.00
Space group R-3m (No. 166, hexagonal axes)
Unique sites:
Cs  0.0000  0.0000  0.0000 x3
Cs  0.0000  0.5000  0.0000 x9
Th  0.0000  0.5000  0.5000 x9
Mg  0.0000  0.0000  0.5000 x3
Te  0.0000  0.0000  0.2334 x6
Te  0.0080  0.5040  0.2301 x18

Computed properties:
crystal system = trigonal

***

[2]
Below is a relaxed SmDyY crystal, with properties calculated at the GGA-PBE level.

abc: 3.5831 3.5831 8.7462
angles: 90.00 90.00 120.00
Space group P3m1 (No. 156)
Unique sites:
Sm  0.0000  0.0000  0.0000 x1
Dy  0.6667  0.3333  0.3338 x1
Y  0.3333  0.6667  0.6634 x1

Computed properties:
ΔE to the lowest computed polymorph = 24.5 meV/atom
crystal system = trigonal

***

no.,calculated total energy (eV per cell)
1,-211.709
2,-15.728